Pm4MgRh5 | PBE-GGA | optimized geometry

Cell lengths 3.4869, 3.4869, 16.8456 Å; angles 90.00, 90.00, 90.00 degrees
Closest atoms and distances in Å follow each position.
Space group P4/mmm (No. 123)
Inequivalent atoms, fractional coordinates:
Pm  0.0000  0.0000  0.1046  8 Rh 3.02-3.03
Pm  0.0000  0.0000  0.3138  8 Rh 2.99-3.04, 1 Mg 3.14
Mg  0.0000  0.0000  0.5000  8 Rh 2.86, 2 Pm 3.14
Rh  0.5000  0.5000  0.0000  8 Pm 3.03
Rh  0.5000  0.5000  0.2081  8 Pm 3.02-3.04
Rh  0.5000  0.5000  0.4140  4 Mg 2.86, 1 Rh 2.90, 4 Pm 2.99

Values from the calculation:
E_form, meV per atom: -627